(1)
Here is an optimized crystal structure of Zr2SeBr from the Alexandria database. Energies are from GGA-PBE.

## Properties
ΔE_f (raw): -0.382 eV per atom
mass density: 6.5 g/cm3
ΔE to the lowest computed polymorph: 523 meV per atom
crystal system: tetragonal

a = 6.519 Å, b = 6.519 Å, c = 6.519 Å
α = 145.78°, β = 145.78°, γ = 49.18°
Fractional coordinates of all 4 atoms:
Br: 0.500 0.500 0.000
Zr: 0.250 0.750 0.500
Se: 0.750 0.250 0.500
Zr: 0.000 0.000 0.000

***

(2)
Here is an optimized crystal structure of Zr2SeBr from the Alexandria database. Energies are from GGA-PBE.

## Properties
ΔE_f (raw): -0.905 eV per atom
mass density: 5.4 g/cm3
ΔE to the lowest computed polymorph: 0 meV per atom
crystal system: trigonal

a = 9.685 Å, b = 9.685 Å, c = 9.685 Å
α = 21.31°, β = 21.31°, γ = 21.31°
Last column: magnetic moment on the atom in μB.
Fractional coordinates of all 4 atoms:
Zr: 0.250 0.250 0.250  0.13
Br: 0.518 0.518 0.518  0.00
Zr: 0.003 0.003 0.003  0.13
Se: 0.728 0.728 0.728  0.06

***

(3)
Here is an optimized crystal structure of Zr2SeBr from the Alexandria database. Energies are from GGA-PBE.

## Properties
ΔE_f (raw): -0.704 eV per atom
mass density: 6.9 g/cm3
ΔE to the lowest computed polymorph: 202 meV per atom
crystal system: monoclinic

a = 5.271 Å, b = 5.271 Å, c = 4.954 Å
α = 77.10°, β = 77.10°, γ = 37.62°
Fractional coordinates of all 4 atoms:
Se: 0.737 0.737 0.830
Zr: 0.248 0.248 0.308
Zr: 0.007 0.007 0.922
Br: 0.508 0.508 0.441

***

(4)
Here is an optimized crystal structure of ZrSe2Br from the Alexandria database. Energies are from GGA-PBE.

## Properties
ΔE_f (raw): -0.594 eV per atom
mass density: 5.3 g/cm3
ΔE to the lowest computed polymorph: 376 meV per atom
crystal system: trigonal

a = 9.712 Å, b = 9.712 Å, c = 9.712 Å
α = 20.94°, β = 20.94°, γ = 20.94°
Fractional coordinates of all 4 atoms:
Se: 0.231 0.231 0.231
Br: 0.772 0.772 0.772
Zr: 0.505 0.505 0.505
Se: 0.993 0.993 0.993

***

(5)
Here is an optimized crystal structure of ZrSeBr from the Alexandria database. Energies are from GGA-PBE.

## Properties
ΔE_f (raw): -1.266 eV per atom
mass density: 5.0 g/cm3
crystal system: trigonal

a = 3.709 Å, b = 3.709 Å, c = 6.992 Å
α = 90.00°, β = 90.00°, γ = 120.00°
Fractional coordinates of all 3 atoms:
Se: 0.667 0.333 0.427
Zr: 0.333 0.667 0.656
Br: 0.000 0.000 0.917

***

(6)
Here is an optimized crystal structure of ZrSeBr from the Alexandria database. Energies are from GGA-PBE.

## Properties
ΔE_f (raw): -0.889 eV per atom
mass density: 5.5 g/cm3
crystal system: cubic

a = 4.732 Å, b = 4.732 Å, c = 4.732 Å
α = 60.00°, β = 60.00°, γ = 60.00°
Last column: magnetic moment on the atom in μB.
Fractional coordinates of all 3 atoms:
Zr: 0.750 0.750 0.750  0.73
Se: 0.500 0.500 0.500  -0.04
Br: 0.000 0.000 0.000  -0.02

***

(7)
Here is an optimized crystal structure of Zr2SeBr from the Alexandria database. Energies are from GGA-PBE.

## Properties
ΔE_f (raw): -0.628 eV per atom
mass density: 7.2 g/cm3
ΔE to the lowest computed polymorph: 277 meV per atom
crystal system: cubic

a = 4.803 Å, b = 4.803 Å, c = 4.803 Å
α = 60.00°, β = 60.00°, γ = 60.00°
Fractional coordinates of all 4 atoms:
Se: 0.000 0.000 0.000
Zr: 0.750 0.750 0.750
Br: 0.500 0.500 0.500
Zr: 0.250 0.250 0.250

***

(8)
Here is an optimized crystal structure of ZrSeBr from the Alexandria database. Energies are from GGA-PBE.

## Properties
ΔE_f (raw): -1.153 eV per atom
mass density: 5.3 g/cm3
crystal system: tetragonal

a = 7.362 Å, b = 7.363 Å, c = 3.366 Å
α = 76.77°, β = 76.77°, γ = 26.43°
Fractional coordinates of all 3 atoms:
Se: 0.280 0.280 0.720
Zr: 0.676 0.676 0.324
Br: 0.044 0.044 0.956

***

(9)
Here is an optimized crystal structure of Zr2SeBr from the Alexandria database. Energies are from GGA-PBE.

## Properties
ΔE_f (raw): -0.539 eV per atom
mass density: 5.8 g/cm3
ΔE to the lowest computed polymorph: 366 meV per atom
crystal system: monoclinic

a = 4.243 Å, b = 3.677 Å, c = 6.301 Å
α = 92.49°, β = 90.00°, γ = 90.00°
Fractional coordinates of all 4 atoms:
Se: 0.500 0.750 0.750
Br: 0.500 0.250 0.250
Zr: 0.000 0.037 0.939
Zr: 0.000 0.463 0.561

***

(10)
Here is an optimized crystal structure of Zr2SeBr3 from the Alexandria database. Energies are from GGA-PBE.

## Properties
ΔE_f (raw): -1.266 eV per atom
mass density: 4.7 g/cm3
crystal system: monoclinic

a = 3.650 Å, b = 14.851 Å, c = 6.619 Å
α = 98.81°, β = 90.00°, γ = 97.06°
Fractional coordinates of all 12 atoms:
Br: 0.326 0.653 0.893
Br: 0.069 0.138 0.194
Se: 0.558 0.116 0.693
Se: 0.442 0.884 0.307
Br: 0.674 0.347 0.107
Zr: 0.378 0.757 0.550
Br: 0.931 0.862 0.806
Br: 0.188 0.376 0.608
Zr: 0.881 0.763 0.155
Zr: 0.622 0.243 0.450
Zr: 0.119 0.237 0.845
Br: 0.812 0.624 0.392

***

(11)
Here is an optimized crystal structure of ZrSe2Br4 from the Alexandria database. Energies are from GGA-PBE.

## Properties
ΔE_f (raw): -0.861 eV per atom
mass density: 3.4 g/cm3
crystal system: monoclinic

a = 3.964 Å, b = 7.147 Å, c = 10.181 Å
α = 99.04°, β = 101.23°, γ = 90.00°
Fractional coordinates of all 7 atoms:
Br: 0.886 0.117 0.771
Se: 0.250 0.409 0.501
Se: 0.750 0.591 0.499
Br: 0.545 0.253 0.091
Zr: 0.000 0.000 0.000
Br: 0.455 0.747 0.909
Br: 0.114 0.883 0.229

***

(12)
Here is an optimized crystal structure of ZrSeBr2 from the Alexandria database. Energies are from GGA-PBE.

## Properties
ΔE_f (raw): -0.871 eV per atom
mass density: 5.1 g/cm3
ΔE to the lowest computed polymorph: 362 meV per atom
crystal system: trigonal

a = 9.392 Å, b = 9.392 Å, c = 9.392 Å
α = 22.59°, β = 22.59°, γ = 22.59°
Fractional coordinates of all 4 atoms:
Br: 0.247 0.247 0.247
Br: 0.021 0.021 0.021
Se: 0.479 0.479 0.479
Zr: 0.753 0.753 0.753

***

Copy entry 5 word for word.
Here is an optimized crystal structure of ZrSeBr from the Alexandria database. Energies are from GGA-PBE.

## Properties
ΔE_f (raw): -1.266 eV per atom
mass density: 5.0 g/cm3
crystal system: trigonal

a = 3.709 Å, b = 3.709 Å, c = 6.992 Å
α = 90.00°, β = 90.00°, γ = 120.00°
Fractional coordinates of all 3 atoms:
Se: 0.667 0.333 0.427
Zr: 0.333 0.667 0.656
Br: 0.000 0.000 0.917

***

> Number 3 is which compound?

Zr2SeBr

***

> Which value of mass density does entry 1 give?

6.5 g/cm3

***

> What is the ΔE_f (raw) in the first record?

-0.382 eV per atom